Entry 1:
First-principles (GGA-PBE) data for a relaxed structure of Cu2AgN2, as listed in the Alexandria database.

```
10
Lattice="6.142 0.000 0.000 0.000 6.142 0.000 0.000 0.000 2.870" Properties=species:S:1:pos:R:3 pbc="T T T"
Cu 0.922 2.149 0.000
Cu 2.149 5.220 0.000
Cu 3.993 0.922 0.000
Cu 5.220 3.993 0.000
Ag 0.000 0.000 1.435
Ag 3.071 3.071 1.435
N 1.035 4.107 1.435
N 2.036 1.035 1.435
N 4.107 5.107 1.435
N 5.107 2.036 1.435
```

For the energy relative to the lowest polymorph listed for this composition, the calculation gives 221 meV per atom. Its symmetry is P4/mbm, No. 127. The value obtained for the formation energy from raw total energies is 549 kJ/mol of formula units.

---

Entry 2:
First-principles (GGA-PBE) data for a relaxed structure of TaAl2Se, as listed in the Alexandria database.

```
8
Lattice="5.510 0.000 0.000 0.000 9.452 0.000 -1.675 0.000 2.693" Properties=species:S:1:pos:R:3 pbc="T T T"
Ta 0.000 0.000 0.000
Ta 2.755 4.726 0.000
Al 0.540 2.363 1.346
Al 0.540 7.089 1.346
Al 3.295 2.363 1.346
Al 3.295 7.089 1.346
Se 0.000 4.726 0.000
Se 2.755 0.000 0.000
```

Its symmetry is C2/m, No. 12. The value obtained for the formation energy from raw total energies is 29 kJ/mol of formula units.

---

Entry 3:
First-principles (GGA-PBE) data for a relaxed structure of Sm4TmTh, as listed in the Alexandria database.

```
12
Lattice="11.640 0.000 0.000 0.000 11.908 0.000 0.000 0.000 3.431" Properties=species:S:1:pos:R:3 pbc="T T T"
Sm 0.000 2.767 0.000
Sm 0.000 9.142 0.000
Sm 2.771 5.954 1.715
Sm 3.049 0.000 1.715
Sm 5.820 3.187 0.000
Sm 5.820 8.721 0.000
Sm 8.591 0.000 1.715
Sm 8.869 5.954 1.715
Tm 0.000 0.000 1.715
Tm 5.820 5.954 1.715
Th 0.000 5.954 0.000
Th 5.820 0.000 0.000
```

For the energy relative to the lowest polymorph listed for this composition, the calculation gives 626 meV per atom. Its energy relative to the elements is 0.661 eV/atom. Its symmetry is Cmmm, No. 65.

---

Number 1: energy -44.02 eV for the cell shown, DOS at the Fermi energy 2.58 states/eV/f.u.. Number 2: energy -45.05 eV for the cell shown, DOS at the Fermi energy 2.31 states/eV/f.u.. Number 3: energy -53.61 eV for the cell shown, DOS at the Fermi energy 10.70 states/eV/f.u..